Record 1
! VP2W | Alexandria | PBE | relaxed; values from VASP
! Space-group type   R-3m
! Volume   14.734 Å³/atom
! D(E_F)   1.12 states/eV per atom
! Energy of formation from the pure elements   -0.31 eV/f.u.
! Relative energy among the computed polymorphs   547 meV per atom
&SYSTEM
  ibrav = 0, nat = 4, ntyp = 3
/
ATOMIC_SPECIES
V 50.94 V.upf
P 30.97 P.upf
W 183.84 W.upf
CELL_PARAMETERS angstrom
1.615 0.932 6.525
-1.615 0.932 6.525
0.000 -1.865 6.525
ATOMIC_POSITIONS crystal
V 0.000 0.000 0.000
P 0.251 0.251 0.251
P 0.749 0.749 0.749
W 0.500 0.500 0.500

***

Record 2
! PrYAsSe | Alexandria | PBE | relaxed; values from VASP
! Space-group type   R3m
! Volume   26.243 Å³/atom
! D(E_F)   0.40 states/eV per atom
! Formation energy from raw total energies   -1.725 eV per atom
&SYSTEM
  ibrav = 0, nat = 4, ntyp = 4
/
ATOMIC_SPECIES
Pr 140.91 Pr.upf
Y 88.91 Y.upf
As 74.92 As.upf
Se 78.96 Se.upf
CELL_PARAMETERS angstrom
2.094 1.209 6.912
-2.094 1.209 6.912
0.000 -2.418 6.912
ATOMIC_POSITIONS crystal
Pr 0.000 0.000 0.000
Y 0.508 0.508 0.508
As 0.250 0.250 0.250
Se 0.758 0.758 0.758

***

| no. | VASP energy (eV per atom) |
| --- | --- |
| 1 | -8.30 |
| 2 | -6.57 |